1.
# TeI3N | Alexandria via LeMat-Bulk | PBE-GGA | relaxed
data_TeI3N
_cell_length_a 5.704
_cell_length_b 9.627
_cell_length_c 9.831
_cell_angle_alpha 68.31
_cell_angle_beta 85.00
_cell_angle_gamma 88.92
_symmetry_space_group_name_H-M 'P 1'
_symmetry_Int_Tables_number 1
_symmetry_space_group_name_Hall 'P 1'
loop_
_atom_site_label
_atom_site_type_symbol
_atom_site_fract_x
_atom_site_fract_y
_atom_site_fract_z
Te1 Te 0.026 0.287 0.274
Te2 Te 0.974 0.713 0.726
I1 I 0.037 0.637 0.192
I2 I 0.047 0.988 0.235
I3 I 0.484 0.734 0.640
I4 I 0.516 0.266 0.360
I5 I 0.953 0.012 0.765
I6 I 0.963 0.363 0.808
N1 N 0.063 0.747 0.333
N2 N 0.937 0.253 0.667
# N(E_F) = 0.18 states/eV per atom
# Offset from the most stable computed form = 0.0000 eV per atom
# Formation energy from raw total energies = 0.71 eV/atom
# Total DFT energy (no corrections) = -2.510 eV per atom


2.
# TeI6N2 | Alexandria via LeMat-Bulk | PBE-GGA | relaxed
data_TeI6N2
_cell_length_a 8.479
_cell_length_b 7.293
_cell_length_c 13.516
_cell_angle_alpha 90.00
_cell_angle_beta 101.61
_cell_angle_gamma 90.00
_symmetry_space_group_name_H-M 'P 1'
_symmetry_Int_Tables_number 1
_symmetry_space_group_name_Hall 'P 1'
loop_
_atom_site_label
_atom_site_type_symbol
_atom_site_fract_x
_atom_site_fract_y
_atom_site_fract_z
Te1 Te 0.000 0.000 0.000
Te2 Te 0.000 0.500 0.500
I1 I 0.209 0.182 0.579
I2 I 0.209 0.318 0.079
I3 I 0.250 0.053 0.301
I4 I 0.250 0.447 0.801
I5 I 0.280 0.673 0.436
I6 I 0.280 0.827 0.936
I7 I 0.720 0.173 0.064
I8 I 0.720 0.327 0.564
I9 I 0.750 0.553 0.199
I10 I 0.750 0.947 0.699
I11 I 0.791 0.682 0.921
I12 I 0.791 0.818 0.421
N1 N 0.286 0.202 0.734
N2 N 0.286 0.298 0.234
N3 N 0.714 0.702 0.766
N4 N 0.714 0.798 0.266
# Formation energy from raw total energies = 0.70 eV/atom
# Total DFT energy (no corrections) = -2.534 eV per atom


3.
# Te3IN | Alexandria via LeMat-Bulk | PBE-GGA | relaxed
data_Te3IN
_cell_length_a 5.812
_cell_length_b 5.812
_cell_length_c 5.812
_cell_angle_alpha 90.00
_cell_angle_beta 90.00
_cell_angle_gamma 90.00
_symmetry_space_group_name_H-M 'P 1'
_symmetry_Int_Tables_number 1
_symmetry_space_group_name_Hall 'P 1'
loop_
_atom_site_label
_atom_site_type_symbol
_atom_site_fract_x
_atom_site_fract_y
_atom_site_fract_z
Te1 Te 0.000 0.000 0.500
Te2 Te 0.000 0.500 0.000
Te3 Te 0.500 0.000 0.000
I1 I 0.000 0.000 0.000
N1 N 0.500 0.500 0.500
# N(E_F) = 4.09 states/eV per atom
# Offset from the most stable computed form = 1.3367 eV per atom
# Formation energy from raw total energies = 2.20 eV/atom
# Total DFT energy (no corrections) = -1.657 eV per atom